[1]
A relaxed structure of CdGa2Pb. Source: Alexandria, functional PBE.

a = 4.805 Å, b = 4.805 Å, c = 4.125 Å
α = 90.00°, β = 90.00°, γ = 90.00°
Space group P4/mmm (No. 123)
One atom of each set of equivalent atoms:
Cd 0.000 0.000 0.000 [1 per cell]
Ga 0.000 0.500 0.500 [2 per cell]
Pb 0.500 0.500 0.000 [1 per cell]

Results
The energy of formation from the pure elements is 97 meV per atom. Its crystal system is tetragonal.

[2]
A relaxed structure of SrTmTlI6. Source: Alexandria, functional PBE.

a = 8.1692 Å, b = 8.1692 Å, c = 14.9555 Å
α = 90.00°, β = 90.00°, γ = 120.00°
Space group P-31c (No. 163)
One atom of each set of equivalent atoms:
Sr 0.3333 0.6667 0.2500 [2 per cell]
Tm 0.3333 0.6667 0.7500 [2 per cell]
Tl 0.0000 0.0000 0.0000 [2 per cell]
I 0.0265 0.3760 0.6316 [12 per cell]

Results
Its crystal system is trigonal. The value obtained for the formation energy from raw total energies is -1.3220 eV per atom.

[3]
A relaxed structure of InGaCo2Ge. Source: Alexandria, functional PBE.

a = 4.415 Å, b = 4.415 Å, c = 5.055 Å
α = 90.00°, β = 90.00°, γ = 90.00°
Space group P4/mmm (No. 123)
One atom of each set of equivalent atoms:
In 0.000 0.000 0.000 [1 per cell]
Ga 0.500 0.500 0.000 [1 per cell]
Co 0.000 0.500 0.500 [2 per cell]
Ge 0.000 0.000 0.500 [1 per cell]

Results
The energy of formation from the pure elements is 781 meV per atom. Its crystal system is tetragonal.

[4]
A relaxed structure of CuSbS3. Source: Alexandria, functional PBE.

a = 4.528 Å, b = 4.528 Å, c = 4.528 Å
α = 90.00°, β = 90.00°, γ = 90.00°
Space group Pm-3m (No. 221)
One atom of each set of equivalent atoms:
Cu 0.000 0.000 0.000 [1 per cell]
Sb 0.500 0.500 0.500 [1 per cell]
S 0.000 0.000 0.500 [3 per cell]

Results
Its crystal system is cubic. The value obtained for the formation energy from raw total energies is 0.3387 eV per atom.

[5]
A relaxed structure of Ac6PmIn. Source: Alexandria, functional PBE.

a = 5.432 Å, b = 5.432 Å, c = 21.876 Å
α = 90.00°, β = 90.00°, γ = 90.00°
Space group I4/mmm (No. 139)
One atom of each set of equivalent atoms:
Ac 0.000 0.000 0.250 [4 per cell]
Ac 0.000 0.500 0.116 [8 per cell]
Pm 0.000 0.000 0.000 [2 per cell]
In 0.000 0.000 0.500 [2 per cell]

Results
The energy of formation from the pure elements is -68 meV per atom. Its crystal system is tetragonal.

[6]
A relaxed structure of LaAl2Cd. Source: Alexandria, functional PBE.

a = 4.5136 Å, b = 4.5136 Å, c = 16.8832 Å
α = 90.00°, β = 90.00°, γ = 120.00°
Space group R3m (No. 160, hexagonal axes)
One atom of each set of equivalent atoms:
La 0.0000 0.0000 0.0000 [3 per cell]
Al 0.0000 0.0000 0.4707 [3 per cell]
Al 0.0000 0.0000 0.7808 [3 per cell]
Cd 0.0000 0.0000 0.2138 [3 per cell]

Results
The energy of formation from the pure elements is -262 meV per atom. Its crystal system is trigonal.

Number 1: Fermi-level density of states 1.9 states/eV/f.u., calculated total energy -10.289 eV per cell. Number 2: Fermi-level density of states 0.0 states/eV/f.u., calculated total energy -59.437 eV per cell. Number 3: Fermi-level density of states 7.2 states/eV/f.u., calculated total energy -20.691 eV per cell. Number 4: Fermi-level density of states 2.8 states/eV/f.u., calculated total energy -18.907 eV per cell. Number 5: Fermi-level density of states 10.8 states/eV/f.u., calculated total energy -65.361 eV per cell. Number 6: Fermi-level density of states 2.4 states/eV/f.u., calculated total energy -43.127 eV per cell.